[1]
The following is a PBE calculation of a geometry-optimized Ca3Ge2Au2 structure, from Alexandria via LeMat-Bulk.

Geometry as CIF:
```
data_Ca3Ge2Au2
_chemical_formula_sum 'Ca12 Ge8 Au8'
_cell_length_a 5.7837
_cell_length_b 8.2876
_cell_length_c 13.7787
_cell_angle_alpha 90.00
_cell_angle_beta 90.00
_cell_angle_gamma 90.00
_space_group_name_H-M_alt 'P 1'
_space_group_IT_number 1
loop_
_space_group_symop_operation_xyz
'x,y,z'
loop_
_atom_site_label
_atom_site_type_symbol
_atom_site_fract_x
_atom_site_fract_y
_atom_site_fract_z
Ca1 Ca 0.1272 0.0966 0.1069
Ca2 Ca 0.1272 0.0966 0.3931
Ca3 Ca 0.1272 0.4034 0.6069
Ca4 Ca 0.1272 0.4034 0.8931
Ca5 Ca 0.3524 0.7308 0.2500
Ca6 Ca 0.3524 0.7692 0.7500
Ca7 Ca 0.6476 0.2308 0.2500
Ca8 Ca 0.6476 0.2692 0.7500
Ca9 Ca 0.8728 0.5966 0.1069
Ca10 Ca 0.8728 0.5966 0.3931
Ca11 Ca 0.8728 0.9034 0.6069
Ca12 Ca 0.8728 0.9034 0.8931
Ge1 Ge 0.1472 0.1189 0.7500
Ge2 Ge 0.1472 0.3811 0.2500
Ge3 Ge 0.3047 0.7500 0.0000
Ge4 Ge 0.3047 0.7500 0.5000
Ge5 Ge 0.6953 0.2500 0.0000
Ge6 Ge 0.6953 0.2500 0.5000
Ge7 Ge 0.8528 0.6189 0.7500
Ge8 Ge 0.8528 0.8811 0.2500
Au1 Au 0.3869 0.0606 0.5911
Au2 Au 0.3869 0.0606 0.9089
Au3 Au 0.3869 0.4394 0.0911
Au4 Au 0.3869 0.4394 0.4089
Au5 Au 0.6131 0.5606 0.5911
Au6 Au 0.6131 0.5606 0.9089
Au7 Au 0.6131 0.9394 0.0911
Au8 Au 0.6131 0.9394 0.4089
```

Calculated values
For the energy of formation, the calculation gives -4.734 eV/f.u. The volume comes out at 23.587 Å³ per atom.



[2]
The following is a PBE calculation of a geometry-optimized Ca3GeAu3 structure, from Alexandria via LeMat-Bulk.

Geometry as CIF:
```
data_Ca3GeAu3
_chemical_formula_sum 'Ca6 Ge2 Au6'
_cell_length_a 5.9115
_cell_length_b 5.9115
_cell_length_c 15.1747
_cell_angle_alpha 107.75
_cell_angle_beta 107.75
_cell_angle_gamma 43.27
_space_group_name_H-M_alt 'P 1'
_space_group_IT_number 1
loop_
_space_group_symop_operation_xyz
'x,y,z'
loop_
_atom_site_label
_atom_site_type_symbol
_atom_site_fract_x
_atom_site_fract_y
_atom_site_fract_z
Ca1 Ca 0.0306 0.0306 0.3898
Ca2 Ca 0.1052 0.1052 0.9213
Ca3 Ca 0.2459 0.2459 0.2324
Ca4 Ca 0.7541 0.7541 0.7676
Ca5 Ca 0.8948 0.8948 0.0787
Ca6 Ca 0.9694 0.9694 0.6102
Ge1 Ge 0.2623 0.2623 0.6100
Ge2 Ge 0.7377 0.7377 0.3900
Au1 Au 0.3601 0.3601 0.4554
Au2 Au 0.3832 0.3832 0.9227
Au3 Au 0.4729 0.4729 0.7658
Au4 Au 0.5271 0.5271 0.2342
Au5 Au 0.6168 0.6168 0.0773
Au6 Au 0.6399 0.6399 0.5446
```

Calculated values
For the energy of formation, the calculation gives -5.045 eV/f.u. The volume comes out at 24.527 Å³ per atom.



> Among the records above, which one has the highest volume?

Ca3GeAu3